Run w
! ZrP2Pt PBEsol relaxed; values from VASP
! N(E_F), states/eV/f.u.: 1.808
! Size of the total moment, μB/atom: 0.00
&SYSTEM
  ibrav = 0, nat = 4, ntyp = 3
/
ATOMIC_SPECIES
Zr 91.22 Zr.upf
P 30.97 P.upf
Pt 195.08 Pt.upf
CELL_PARAMETERS angstrom
4.303 0.000 0.000
0.000 4.303 0.000
0.000 0.000 3.252
ATOMIC_POSITIONS crystal
Zr 0.000 0.000 0.000
P 0.000 0.500 0.500
P 0.500 0.000 0.500
Pt 0.500 0.500 0.000

=====

Run x
! ZrP2Pt PBEsol relaxed; values from VASP
! N(E_F), states/eV/f.u.: 1.879
! Size of the total moment, μB/atom: 0.00
&SYSTEM
  ibrav = 0, nat = 4, ntyp = 3
/
ATOMIC_SPECIES
Zr 91.22 Zr.upf
P 30.97 P.upf
Pt 195.08 Pt.upf
CELL_PARAMETERS angstrom
-1.736 1.759 5.172
1.736 -1.759 5.172
1.736 1.759 -5.172
ATOMIC_POSITIONS crystal
Zr 0.000 0.000 0.000
P 0.312 0.812 0.500
P 0.580 0.580 0.000
Pt 0.756 0.256 0.500

=====

Stability verdict: run x, ahead by 1.8 kJ/mol of atoms

=====

Run w
! RbSnPS2 PBEsol relaxed; values from VASP
! N(E_F), states/eV/f.u.: 5.411
! Size of the total moment, μB/atom: 0.00
&SYSTEM
  ibrav = 0, nat = 5, ntyp = 4
/
ATOMIC_SPECIES
Rb 85.47 Rb.upf
Sn 118.71 Sn.upf
P 30.97 P.upf
S 32.06 S.upf
CELL_PARAMETERS angstrom
5.294 0.000 0.000
0.000 5.294 0.000
0.000 0.000 5.167
ATOMIC_POSITIONS crystal
Rb 0.000 0.000 0.000
Sn 0.500 0.500 0.500
P 0.000 0.000 0.500
S 0.000 0.500 0.000
S 0.500 0.000 0.000

=====

Run x
! RbSnPS2 PBEsol relaxed; values from VASP
! N(E_F), states/eV/f.u.: 3.575
! Size of the total moment, μB/atom: 0.25
&SYSTEM
  ibrav = 0, nat = 5, ntyp = 4
/
ATOMIC_SPECIES
Rb 85.47 Rb.upf
Sn 118.71 Sn.upf
P 30.97 P.upf
S 32.06 S.upf
CELL_PARAMETERS angstrom
5.144 0.000 0.000
0.000 5.144 0.000
0.000 0.000 5.050
ATOMIC_POSITIONS crystal
Rb 0.000 0.000 0.000
Sn 0.500 0.500 0.500
P 0.500 0.500 0.000
S 0.000 0.500 0.500
S 0.500 0.000 0.500

=====

Stability verdict: run x, ahead by 125.1 kJ/mol of atoms

=====

Run w
! RbTiP2 PBEsol relaxed; values from VASP
! N(E_F), states/eV/f.u.: 1.527
! Size of the total moment, μB/atom: 0.00
&SYSTEM
  ibrav = 0, nat = 4, ntyp = 3
/
ATOMIC_SPECIES
Rb 85.47 Rb.upf
Ti 47.87 Ti.upf
P 30.97 P.upf
CELL_PARAMETERS angstrom
0.000 3.375 3.375
3.375 0.000 3.375
3.375 3.375 0.000
ATOMIC_POSITIONS crystal
Rb 0.000 0.000 0.000
Ti 0.500 0.500 0.500
P 0.250 0.250 0.250
P 0.750 0.750 0.750

=====

Run x
! RbTiP2 PBEsol relaxed; values from VASP
! N(E_F), states/eV/f.u.: 1.218
! Size of the total moment, μB/atom: 0.00
&SYSTEM
  ibrav = 0, nat = 8, ntyp = 3
/
ATOMIC_SPECIES
Rb 85.47 Rb.upf
Ti 47.87 Ti.upf
P 30.97 P.upf
CELL_PARAMETERS angstrom
-2.853 2.853 7.294
2.853 -2.853 7.294
2.853 2.853 -7.294
ATOMIC_POSITIONS crystal
Rb 0.375 0.625 0.750
Rb 0.625 0.375 0.250
Ti 0.125 0.875 0.250
Ti 0.875 0.125 0.750
P 0.000 0.000 0.000
P 0.000 0.000 0.500
P 0.000 0.500 0.000
P 0.500 0.000 0.500

=====

Stability verdict: run x, ahead by 66.8 kJ/mol of atoms

=====

Run w
! Re2P PBEsol relaxed; values from VASP
! N(E_F), states/eV/f.u.: 2.755
! Size of the total moment, μB/atom: 0.00
&SYSTEM
  ibrav = 0, nat = 6, ntyp = 2
/
ATOMIC_SPECIES
Re 186.21 Re.upf
P 30.97 P.upf
CELL_PARAMETERS angstrom
4.358 0.000 0.000
-2.179 3.774 0.000
0.000 0.000 4.996
ATOMIC_POSITIONS crystal
Re 0.000 0.000 0.000
Re 0.000 0.000 0.500
Re 0.333 0.667 0.250
Re 0.667 0.333 0.750
P 0.333 0.667 0.750
P 0.667 0.333 0.250

=====

Run x
! Re2P PBEsol relaxed; values from VASP
! N(E_F), states/eV/f.u.: 1.618
! Size of the total moment, μB/atom: 0.00
&SYSTEM
  ibrav = 0, nat = 12, ntyp = 2
/
ATOMIC_SPECIES
Re 186.21 Re.upf
P 30.97 P.upf
CELL_PARAMETERS angstrom
5.707 0.000 0.000
0.000 3.005 0.000
0.000 0.000 9.939
ATOMIC_POSITIONS crystal
Re 0.179 0.250 0.015
Re 0.186 0.750 0.789
Re 0.314 0.250 0.289
Re 0.321 0.750 0.515
Re 0.679 0.250 0.485
Re 0.686 0.750 0.711
Re 0.814 0.250 0.211
Re 0.821 0.750 0.985
P 0.007 0.250 0.635
P 0.493 0.750 0.135
P 0.507 0.250 0.865
P 0.993 0.750 0.365

=====

Stability verdict: run x, ahead by 51.8 kJ/mol of atoms

=====

Run w
! ReP2Rh PBEsol relaxed; values from VASP
! N(E_F), states/eV/f.u.: 2.423
! Size of the total moment, μB/atom: 0.00
&SYSTEM
  ibrav = 0, nat = 4, ntyp = 3
/
ATOMIC_SPECIES
Re 186.21 Re.upf
P 30.97 P.upf
Rh 102.91 Rh.upf
CELL_PARAMETERS angstrom
2.874 0.000 0.000
0.000 3.844 0.000
0.000 0.000 4.978
ATOMIC_POSITIONS crystal
Re 0.000 0.000 0.000
P 0.000 0.500 0.500
P 0.500 0.500 0.000
Rh 0.500 0.000 0.500

=====

Run x
! ReP2Rh PBEsol relaxed; values from VASP
! N(E_F), states/eV/f.u.: 4.050
! Size of the total moment, μB/atom: 0.00
&SYSTEM
  ibrav = 0, nat = 4, ntyp = 3
/
ATOMIC_SPECIES
Re 186.21 Re.upf
P 30.97 P.upf
Rh 102.91 Rh.upf
CELL_PARAMETERS angstrom
0.000 3.014 3.014
3.014 0.000 3.014
3.014 3.014 0.000
ATOMIC_POSITIONS crystal
Re 0.000 0.000 0.000
P 0.250 0.250 0.250
P 0.500 0.500 0.500
Rh 0.750 0.750 0.750

=====

Stability verdict: run w, ahead by 25.7 kJ/mol of atoms

=====

Run w
! Re2SbP PBEsol relaxed; values from VASP
! N(E_F), states/eV/f.u.: 3.839
! Size of the total moment, μB/atom: 0.00
&SYSTEM
  ibrav = 0, nat = 4, ntyp = 3
/
ATOMIC_SPECIES
Re 186.21 Re.upf
Sb 121.76 Sb.upf
P 30.97 P.upf
CELL_PARAMETERS angstrom
1.524 -2.518 0.000
1.524 2.518 0.000
0.000 0.000 8.454
ATOMIC_POSITIONS crystal
Re 0.000 0.000 0.206
Re 0.000 0.000 0.794
Sb 0.500 0.500 0.500
P 0.500 0.500 0.000

=====

Run x
! Re2SbP PBEsol relaxed; values from VASP
! N(E_F), states/eV/f.u.: 2.789
! Size of the total moment, μB/atom: 0.00
&SYSTEM
  ibrav = 0, nat = 4, ntyp = 3
/
ATOMIC_SPECIES
Re 186.21 Re.upf
Sb 121.76 Sb.upf
P 30.97 P.upf
CELL_PARAMETERS angstrom
0.000 3.107 3.107
3.107 0.000 3.107
3.107 3.107 0.000
ATOMIC_POSITIONS crystal
Re 0.250 0.250 0.250
Re 0.750 0.750 0.750
Sb 0.000 0.000 0.000
P 0.500 0.500 0.500

=====

Stability verdict: run x, ahead by 24.4 kJ/mol of atoms